No. 1
! Rb2HfCl2O2, relaxed, DFT PBE; values from VASP
! Formation energy without anion corrections (eV/atom): -2.3283
! Symmetry: No. 139
! E_tot (eV per atom): -5.971
! Magnetic moment (μB/f.u.): 0.000
&SYSTEM
  ibrav = 0, nat = 7, ntyp = 4
/
ATOMIC_SPECIES
Rb 85.47 Rb.upf
Hf 178.49 Hf.upf
Cl 35.45 Cl.upf
O 16.00 O.upf
CELL_PARAMETERS angstrom
-2.138 2.138 8.391
2.138 -2.138 8.391
2.138 2.138 -8.391
ATOMIC_POSITIONS crystal
Rb 0.126 0.126 0.000
Rb 0.874 0.874 0.000
Hf 0.500 0.500 0.000
Cl 0.344 0.344 0.000
Cl 0.656 0.656 0.000
O 0.000 0.500 0.500
O 0.500 0.000 0.500


No. 2
! HfS2ClO, relaxed, DFT PBE; values from VASP
! Formation energy without anion corrections (eV/atom): -0.2262
! Symmetry: No. 123
! E_tot (eV per atom): -5.229
! Magnetic moment (μB/f.u.): 2.512
&SYSTEM
  ibrav = 0, nat = 5, ntyp = 4
/
ATOMIC_SPECIES
Hf 178.49 Hf.upf
S 32.06 S.upf
Cl 35.45 Cl.upf
O 16.00 O.upf
CELL_PARAMETERS angstrom
4.941 0.000 0.000
0.000 4.941 0.000
0.000 0.000 4.962
ATOMIC_POSITIONS crystal
Hf 0.000 0.000 0.000
S 0.000 0.500 0.000
S 0.500 0.000 0.000
Cl 0.000 0.000 0.500
O 0.500 0.500 0.500


No. 3
! HfS2ClO, relaxed, DFT PBE; values from VASP
! Formation energy without anion corrections (eV/atom): 0.2265
! Symmetry: No. 123
! E_tot (eV per atom): -4.776
! Magnetic moment (μB/f.u.): 0.000
&SYSTEM
  ibrav = 0, nat = 5, ntyp = 4
/
ATOMIC_SPECIES
Hf 178.49 Hf.upf
S 32.06 S.upf
Cl 35.45 Cl.upf
O 16.00 O.upf
CELL_PARAMETERS angstrom
4.331 0.000 0.000
0.000 4.331 0.000
0.000 0.000 4.206
ATOMIC_POSITIONS crystal
Hf 0.000 0.000 0.000
S 0.000 0.500 0.500
S 0.500 0.000 0.500
Cl 0.500 0.500 0.000
O 0.500 0.500 0.500


Q: Which value of E_tot does entry 1 give?
A: -5.971 eV per atom